[1]
Compound: PrTmPa2P4
Source: the Alexandria database
Functional: PBE-GGA
Structure: relaxed

Energy of formation, eV per atom: -1.416
Total DFT energy (no corrections), eV per cell: -61.2

a = 6.9561 Å, b = 4.0154 Å, c = 6.9593 Å
α = 90.00°, β = 109.45°, γ = 90.00°
Atoms (fractional coordinates):
Pr (0.0000, 0.0000, 0.0000)
Tm (0.0000, 0.5000, 0.5000)
Pa (0.5000, 0.0000, 0.5000)
Pa (0.5000, 0.5000, 0.0000)
P (0.2566, 0.0000, 0.7452)
P (0.2623, 0.5000, 0.2614)
P (0.7377, 0.5000, 0.7386)
P (0.7434, 0.0000, 0.2548)

[2]
Compound: CeMgCo2H6
Source: the Alexandria database
Functional: PBE-GGA
Structure: relaxed

Total DFT energy (no corrections), eV per cell: -44.5

a = 5.6237 Å, b = 5.6237 Å, c = 5.6237 Å
α = 46.33°, β = 46.33°, γ = 46.33°
Atoms (fractional coordinates):
Ce (0.0000, 0.0000, 0.0000)
Mg (0.5000, 0.5000, 0.5000)
Co (0.2091, 0.2091, 0.2091)
Co (0.7909, 0.7909, 0.7909)
H (0.0561, 0.5680, 0.5680)
H (0.4320, 0.4320, 0.9439)
H (0.4320, 0.9439, 0.4320)
H (0.5680, 0.0561, 0.5680)
H (0.5680, 0.5680, 0.0561)
H (0.9439, 0.4320, 0.4320)

> Look up the total DFT energy (no corrections) of the second one.

-44.5 eV per cell